Entry 1:
Density functional theory data (meta-GGA SCAN) for a PBEsol-optimized structure of MgSc4In.

Values from the calculation:
E_form: 0.70 eV/f.u.
space group: F-43m, No. 216

Lattice parameters (Å, degrees): 5.8235 5.8235 5.8235 60.00 60.00 60.00
Fractional positions:
Mg: 0.0000 0.0000 0.0000
Sc: 0.1257 0.6248 0.6248
Sc: 0.6248 0.1257 0.6248
Sc: 0.6248 0.6248 0.1257
Sc: 0.6248 0.6248 0.6248
In: 0.2500 0.2500 0.2500


Entry 2:
Density functional theory data (meta-GGA SCAN) for a PBEsol-optimized structure of MgIn2Se.

Values from the calculation:
uncorrected formation energy: -0.6 eV/f.u.
space group: P4/mmm, No. 123

Lattice parameters (Å, degrees): 3.6435 3.6435 7.0009 90.00 90.00 90.00
Fractional positions:
Mg: 0.0000 0.0000 0.0000
In: 0.5000 0.5000 0.2608
In: 0.5000 0.5000 0.7392
Se: 0.0000 0.0000 0.5000


Entry 3:
Density functional theory data (meta-GGA SCAN) for a PBEsol-optimized structure of MgInSe2.

Values from the calculation:
uncorrected formation energy: -2.2 eV/f.u.
space group: Immm, No. 71

Lattice parameters (Å, degrees): 5.3248 5.3248 5.3248 136.20 105.73 90.41
Fractional positions:
Mg: 0.0000 0.0000 0.0000
In: 0.5000 0.5000 0.0000
Se: 0.2279 0.7279 0.5000
Se: 0.7721 0.2721 0.5000


Entry 4:
Density functional theory data (meta-GGA SCAN) for a PBEsol-optimized structure of MgInSn2.

Values from the calculation:
E_form: 0.24 eV/f.u.
space group: Fm-3m, No. 225

Lattice parameters (Å, degrees): 5.2052 5.2052 5.2052 60.00 60.00 60.00
Fractional positions:
Mg: 0.0000 0.0000 0.0000
In: 0.5000 0.5000 0.5000
Sn: 0.2500 0.2500 0.2500
Sn: 0.7500 0.7500 0.7500


Entry 5:
Density functional theory data (meta-GGA SCAN) for a PBEsol-optimized structure of Sr2MgIn.

Values from the calculation:
E_form: -1.31 eV/f.u.
space group: P4/mmm, No. 123

Lattice parameters (Å, degrees): 4.0348 4.0348 8.2417 90.00 90.00 90.00
Fractional positions:
Sr: 0.0000 0.0000 0.2376
Sr: 0.0000 0.0000 0.7624
Mg: 0.5000 0.5000 0.5000
In: 0.5000 0.5000 0.0000


Entry 6:
Density functional theory data (meta-GGA SCAN) for a PBEsol-optimized structure of SrMgIn3.

Values from the calculation:
E_form: -2.37 eV/f.u.
space group: I-4m2, No. 119

Lattice parameters (Å, degrees): 7.0938 7.0938 7.0938 141.68 141.68 55.31
Fractional positions:
Sr: 0.0000 0.0000 0.0000
Mg: 0.2500 0.7500 0.5000
In: 0.3894 0.3894 0.0000
In: 0.6106 0.6106 0.0000
In: 0.7500 0.2500 0.5000